# 1
Entry from Alexandria via LeMat-Bulk: crystalline KOsPt2 at its relaxed geometry (GGA-PBEsol).

Computed properties:
Energy of formation ... 0.5222 eV/atom
Distance to the lowest polymorph of the same formula ... 2 meV per atom

The structure in CIF format:
```
data_KOsPt2
_chemical_formula_sum 'K2 Os2 Pt4'
_space_group_name_H-M_alt 'C 1 2/m 1'
_space_group_IT_number 12
_cell_length_a 8.463
_cell_length_b 2.681
_cell_length_c 7.105
_cell_angle_alpha 90.00
_cell_angle_beta 94.38
_cell_angle_gamma 90.00
loop_
_space_group_symop_operation_xyz
'x,y,z'
'-x,-y,-z'
'-x,y,-z'
'x,-y,z'
'x+1/2,y+1/2,z'
'-x+1/2,-y+1/2,-z'
'-x+1/2,y+1/2,-z'
'x+1/2,-y+1/2,z'
loop_
_atom_site_label
_atom_site_type_symbol
_atom_site_fract_x
_atom_site_fract_y
_atom_site_fract_z
K1 K 0.000 0.000 0.000
Os1 Os 0.000 0.500 0.500
Pt1 Pt 0.242 0.000 0.669
```

# 2
Entry from Alexandria via LeMat-Bulk: crystalline PIrPb2 at its relaxed geometry (GGA-PBEsol).

Computed properties:
Energy of formation ... 0.6281 eV/atom

The structure in CIF format:
```
data_PIrPb2
_chemical_formula_sum 'P4 Ir4 Pb8'
_space_group_name_H-M_alt 'F m -3 m'
_space_group_IT_number 225
_space_group_name_Hall '-F 4 2 3'
_cell_length_a 6.873
_cell_length_b 6.873
_cell_length_c 6.873
_cell_angle_alpha 90.00
_cell_angle_beta 90.00
_cell_angle_gamma 90.00
loop_
_atom_site_label
_atom_site_type_symbol
_atom_site_fract_x
_atom_site_fract_y
_atom_site_fract_z
P1 P 0.000 0.000 0.000
Ir1 Ir 0.000 0.000 0.500
Pb1 Pb 0.250 0.250 0.250
```

# 3
Entry from Alexandria via LeMat-Bulk: crystalline CaTeRuI2 at its relaxed geometry (GGA-PBEsol).

Computed properties:
Formation energy without anion corrections ... 705 meV/atom

The structure in CIF format:
```
data_CaTeRuI2
_chemical_formula_sum 'Ca1 Te1 Ru1 I2'
_space_group_name_H-M_alt 'P 4/m m m'
_space_group_IT_number 123
_space_group_name_Hall '-P 4 2'
_cell_length_a 5.729
_cell_length_b 5.729
_cell_length_c 5.924
_cell_angle_alpha 90.00
_cell_angle_beta 90.00
_cell_angle_gamma 90.00
loop_
_atom_site_label
_atom_site_type_symbol
_atom_site_fract_x
_atom_site_fract_y
_atom_site_fract_z
Ca1 Ca 0.000 0.000 0.000
Te1 Te 0.000 0.000 0.500
Ru1 Ru 0.500 0.500 0.500
I1 I 0.000 0.500 0.000
```

# 4
Entry from Alexandria via LeMat-Bulk: crystalline SiRu2WSe at its relaxed geometry (GGA-PBEsol).

Computed properties:
Formation energy without anion corrections ... 1460 meV/atom

The structure in CIF format:
```
data_SiRu2WSe
_chemical_formula_sum 'Si1 Ru2 W1 Se1'
_space_group_name_H-M_alt 'P 4/m m m'
_space_group_IT_number 123
_space_group_name_Hall '-P 4 2'
_cell_length_a 4.321
_cell_length_b 4.321
_cell_length_c 4.550
_cell_angle_alpha 90.00
_cell_angle_beta 90.00
_cell_angle_gamma 90.00
loop_
_atom_site_label
_atom_site_type_symbol
_atom_site_fract_x
_atom_site_fract_y
_atom_site_fract_z
Si1 Si 0.000 0.000 0.000
Ru1 Ru 0.000 0.500 0.000
W1 W 0.500 0.500 0.500
Se1 Se 0.000 0.000 0.500
```

# 5
Entry from Alexandria via LeMat-Bulk: crystalline ScRhPb2 at its relaxed geometry (GGA-PBEsol).

Computed properties:
Energy of formation ... -0.1649 eV/atom

The structure in CIF format:
```
data_ScRhPb2
_chemical_formula_sum 'Sc2 Rh2 Pb4'
_space_group_name_H-M_alt 'C 1 2/m 1'
_space_group_IT_number 12
_cell_length_a 8.798
_cell_length_b 3.519
_cell_length_c 5.668
_cell_angle_alpha 90.00
_cell_angle_beta 104.37
_cell_angle_gamma 90.00
loop_
_space_group_symop_operation_xyz
'x,y,z'
'-x,-y,-z'
'-x,y,-z'
'x,-y,z'
'x+1/2,y+1/2,z'
'-x+1/2,-y+1/2,-z'
'-x+1/2,y+1/2,-z'
'x+1/2,-y+1/2,z'
loop_
_atom_site_label
_atom_site_type_symbol
_atom_site_fract_x
_atom_site_fract_y
_atom_site_fract_z
Sc1 Sc 0.000 0.000 0.000
Rh1 Rh 0.000 0.500 0.500
Pb1 Pb 0.237 0.000 0.723
```

# 6
Entry from Alexandria via LeMat-Bulk: crystalline CsCo2Tc at its relaxed geometry (GGA-PBEsol).

Computed properties:
Energy of formation ... 1.8003 eV/atom

The structure in CIF format:
```
data_CsCo2Tc
_chemical_formula_sum 'Cs4 Co8 Tc4'
_space_group_name_H-M_alt 'F m -3 m'
_space_group_IT_number 225
_space_group_name_Hall '-F 4 2 3'
_cell_length_a 6.426
_cell_length_b 6.426
_cell_length_c 6.426
_cell_angle_alpha 90.00
_cell_angle_beta 90.00
_cell_angle_gamma 90.00
loop_
_atom_site_label
_atom_site_type_symbol
_atom_site_fract_x
_atom_site_fract_y
_atom_site_fract_z
Cs1 Cs 0.000 0.000 0.000
Co1 Co 0.250 0.250 0.250
Tc1 Tc 0.000 0.000 0.500
```